1.
{"formula": "Pr3Mg3TlAg2", "functional": "PBE", "state": "optimized geometry", "total_energy_ev_per_cell": -29.285, "lattice_angstrom": [[7.784, 0.000, 0.000], [-3.892, 6.741, 0.000], [0.000, 0.000, 4.497]], "species": ["Pr", "Pr", "Pr", "Mg", "Mg", "Mg", "Tl", "Ag", "Ag"], "fractional_positions": [[0.000, 0.420, 0.000], [0.420, 0.000, 0.000], [0.580, 0.580, 0.000], [0.000, 0.750, 0.500], [0.250, 0.250, 0.500], [0.750, 0.000, 0.500], [0.000, 0.000, 0.000], [0.333, 0.667, 0.500], [0.667, 0.333, 0.500]]}

***

2.
{"formula": "Pr3Mg3Zn2Ag", "functional": "PBE", "state": "optimized geometry", "total_energy_ev_per_cell": -26.672, "lattice_angstrom": [[7.776, 0.000, 0.000], [-3.888, 6.734, 0.000], [0.000, 0.000, 4.323]], "species": ["Pr", "Pr", "Pr", "Mg", "Mg", "Mg", "Zn", "Zn", "Ag"], "fractional_positions": [[0.000, 0.418, 0.000], [0.418, 0.000, 0.000], [0.582, 0.582, 0.000], [0.000, 0.758, 0.500], [0.242, 0.242, 0.500], [0.758, 0.000, 0.500], [0.333, 0.667, 0.500], [0.667, 0.333, 0.500], [0.000, 0.000, 0.000]]}

***

3.
{"formula": "Pr3Mg3ZnAg2", "functional": "PBE", "state": "optimized geometry", "total_energy_ev_per_cell": -28.204, "lattice_angstrom": [[7.746, 0.000, 0.000], [-3.873, 6.708, 0.000], [0.000, 0.000, 4.407]], "species": ["Pr", "Pr", "Pr", "Mg", "Mg", "Mg", "Zn", "Ag", "Ag"], "fractional_positions": [[0.000, 0.411, 0.000], [0.411, 0.000, 0.000], [0.589, 0.589, 0.000], [0.000, 0.761, 0.500], [0.239, 0.239, 0.500], [0.761, 0.000, 0.500], [0.000, 0.000, 0.000], [0.333, 0.667, 0.500], [0.667, 0.333, 0.500]]}

***

4.
{"formula": "Mg2AgPt", "functional": "PBE", "state": "optimized geometry", "relative_energy_ev_per_atom": 0.000, "lattice_angstrom": [[4.591, 0.000, 0.000], [0.000, 6.429, 0.000], [0.000, 0.000, 4.589]], "species": ["Mg", "Mg", "Mg", "Mg", "Ag", "Ag", "Pt", "Pt"], "fractional_positions": [[0.250, 0.000, 0.249], [0.250, 0.500, 0.249], [0.750, 0.000, 0.751], [0.750, 0.500, 0.751], [0.250, 0.250, 0.749], [0.750, 0.750, 0.251], [0.250, 0.750, 0.749], [0.750, 0.250, 0.251]]}

***

5.
{"formula": "Mg2AgPt", "functional": "PBE", "state": "optimized geometry", "relative_energy_ev_per_atom": 0.035, "lattice_angstrom": [[4.490, 0.000, 0.000], [0.000, 4.490, 0.000], [0.000, 0.000, 3.349]], "species": ["Mg", "Mg", "Ag", "Pt"], "fractional_positions": [[0.000, 0.500, 0.000], [0.500, 0.000, 0.000], [0.000, 0.000, 0.500], [0.500, 0.500, 0.500]]}

***

6.
{"formula": "Mg2AgPt", "functional": "PBE", "state": "optimized geometry", "relative_energy_ev_per_atom": 0.000, "lattice_angstrom": [[6.468, 0.000, 0.000], [0.000, 6.468, 0.000], [0.000, 0.000, 6.468]], "species": ["Mg", "Mg", "Mg", "Mg", "Mg", "Mg", "Mg", "Mg", "Ag", "Ag", "Ag", "Ag", "Pt", "Pt", "Pt", "Pt"], "fractional_positions": [[0.250, 0.250, 0.250], [0.250, 0.250, 0.750], [0.250, 0.750, 0.250], [0.250, 0.750, 0.750], [0.750, 0.250, 0.250], [0.750, 0.250, 0.750], [0.750, 0.750, 0.250], [0.750, 0.750, 0.750], [0.000, 0.000, 0.000], [0.000, 0.500, 0.500], [0.500, 0.000, 0.500], [0.500, 0.500, 0.000], [0.000, 0.000, 0.500], [0.000, 0.500, 0.000], [0.500, 0.000, 0.000], [0.500, 0.500, 0.500]]}

***

7.
{"formula": "Mg2AgPt", "functional": "PBE", "state": "optimized geometry", "relative_energy_ev_per_atom": 0.000, "lattice_angstrom": [[4.566, 0.000, 0.000], [0.000, 4.566, 0.000], [0.000, 0.000, 6.490]], "species": ["Mg", "Mg", "Mg", "Mg", "Ag", "Ag", "Pt", "Pt"], "fractional_positions": [[0.000, 0.500, 0.250], [0.000, 0.500, 0.750], [0.500, 0.000, 0.250], [0.500, 0.000, 0.750], [0.000, 0.000, 0.000], [0.500, 0.500, 0.500], [0.000, 0.000, 0.500], [0.500, 0.500, 0.000]]}

***

8.
{"formula": "Mg2AgPt", "functional": "PBE", "state": "optimized geometry", "relative_energy_ev_per_atom": 0.036, "lattice_angstrom": [[6.322, 0.000, 0.000], [0.000, 6.794, 0.000], [0.000, 0.000, 6.261]], "species": ["Mg", "Mg", "Mg", "Mg", "Mg", "Mg", "Mg", "Mg", "Ag", "Ag", "Ag", "Ag", "Pt", "Pt", "Pt", "Pt"], "fractional_positions": [[0.250, 0.000, 0.250], [0.250, 0.000, 0.750], [0.250, 0.500, 0.250], [0.250, 0.500, 0.750], [0.750, 0.000, 0.250], [0.750, 0.000, 0.750], [0.750, 0.500, 0.250], [0.750, 0.500, 0.750], [0.001, 0.250, 0.000], [0.499, 0.750, 0.500], [0.501, 0.250, 0.500], [0.999, 0.750, 0.000], [0.000, 0.250, 0.500], [0.000, 0.750, 0.500], [0.500, 0.250, 0.000], [0.500, 0.750, 0.000]]}

***

9.
{"formula": "Mg2AgPt", "functional": "PBE", "state": "optimized geometry", "relative_energy_ev_per_atom": 0.021, "lattice_angstrom": [[3.122, 0.000, 0.000], [0.000, 3.122, 0.000], [0.000, 0.000, 7.039]], "species": ["Mg", "Mg", "Ag", "Pt"], "fractional_positions": [[0.000, 0.000, 0.230], [0.000, 0.000, 0.770], [0.500, 0.500, 0.500], [0.500, 0.500, 0.000]]}

***

10.
{"formula": "MgTaAgPt", "functional": "PBE", "state": "optimized geometry", "relative_energy_ev_per_atom": 0.377, "lattice_angstrom": [[6.439, 0.000, 0.000], [0.000, 6.439, 0.000], [0.000, 0.000, 6.439]], "species": ["Mg", "Mg", "Mg", "Mg", "Ta", "Ta", "Ta", "Ta", "Ag", "Ag", "Ag", "Ag", "Pt", "Pt", "Pt", "Pt"], "fractional_positions": [[0.000, 0.000, 0.000], [0.000, 0.500, 0.500], [0.500, 0.000, 0.500], [0.500, 0.500, 0.000], [0.250, 0.250, 0.750], [0.250, 0.750, 0.250], [0.750, 0.250, 0.250], [0.750, 0.750, 0.750], [0.000, 0.000, 0.500], [0.000, 0.500, 0.000], [0.500, 0.000, 0.000], [0.500, 0.500, 0.500], [0.250, 0.250, 0.250], [0.250, 0.750, 0.750], [0.750, 0.250, 0.750], [0.750, 0.750, 0.250]]}

***

11.
{"formula": "MgTaAgPt", "functional": "PBE", "state": "optimized geometry", "relative_energy_ev_per_atom": 0.000, "lattice_angstrom": [[6.485, 0.000, 0.000], [0.000, 6.485, 0.000], [0.000, 0.000, 6.485]], "species": ["Mg", "Mg", "Mg", "Mg", "Ta", "Ta", "Ta", "Ta", "Ag", "Ag", "Ag", "Ag", "Pt", "Pt", "Pt", "Pt"], "fractional_positions": [[0.000, 0.000, 0.000], [0.000, 0.500, 0.500], [0.500, 0.000, 0.500], [0.500, 0.500, 0.000], [0.000, 0.000, 0.500], [0.000, 0.500, 0.000], [0.500, 0.000, 0.000], [0.500, 0.500, 0.500], [0.250, 0.250, 0.750], [0.250, 0.750, 0.250], [0.750, 0.250, 0.250], [0.750, 0.750, 0.750], [0.250, 0.250, 0.250], [0.250, 0.750, 0.750], [0.750, 0.250, 0.750], [0.750, 0.750, 0.250]]}

***

12.
{"formula": "MgTaAgPt", "functional": "PBE", "state": "optimized geometry", "relative_energy_ev_per_atom": 0.108, "lattice_angstrom": [[6.440, 0.000, 0.000], [0.000, 6.440, 0.000], [0.000, 0.000, 6.440]], "species": ["Mg", "Mg", "Mg", "Mg", "Ta", "Ta", "Ta", "Ta", "Ag", "Ag", "Ag", "Ag", "Pt", "Pt", "Pt", "Pt"], "fractional_positions": [[0.000, 0.000, 0.000], [0.000, 0.500, 0.500], [0.500, 0.000, 0.500], [0.500, 0.500, 0.000], [0.250, 0.250, 0.750], [0.250, 0.750, 0.250], [0.750, 0.250, 0.250], [0.750, 0.750, 0.750], [0.250, 0.250, 0.250], [0.250, 0.750, 0.750], [0.750, 0.250, 0.750], [0.750, 0.750, 0.250], [0.000, 0.000, 0.500], [0.000, 0.500, 0.000], [0.500, 0.000, 0.000], [0.500, 0.500, 0.500]]}

***

13.
{"formula": "Y3Mg3AgPt2", "functional": "PBE", "state": "optimized geometry", "total_energy_ev_per_cell": -45.609, "lattice_angstrom": [[7.508, 0.000, 0.000], [-3.754, 6.502, 0.000], [0.000, 0.000, 4.064]], "species": ["Y", "Y", "Y", "Mg", "Mg", "Mg", "Ag", "Pt", "Pt"], "fractional_positions": [[0.000, 0.580, 0.000], [0.420, 0.420, 0.000], [0.580, 0.000, 0.000], [0.000, 0.253, 0.500], [0.253, 0.000, 0.500], [0.747, 0.747, 0.500], [0.000, 0.000, 0.000], [0.333, 0.667, 0.500], [0.667, 0.333, 0.500]]}

***

14.
{"formula": "PuMgAg", "functional": "PBE", "state": "optimized geometry", "total_energy_ev_per_cell": -68.281, "lattice_angstrom": [[6.909, 0.000, 0.000], [0.000, 6.909, 0.000], [0.000, 0.000, 6.909]], "species": ["Pu", "Pu", "Pu", "Pu", "Mg", "Mg", "Mg", "Mg", "Ag", "Ag", "Ag", "Ag"], "fractional_positions": [[0.000, 0.000, 0.000], [0.000, 0.500, 0.500], [0.500, 0.000, 0.500], [0.500, 0.500, 0.000], [0.250, 0.250, 0.750], [0.250, 0.750, 0.250], [0.750, 0.250, 0.250], [0.750, 0.750, 0.750], [0.000, 0.000, 0.500], [0.000, 0.500, 0.000], [0.500, 0.000, 0.000], [0.500, 0.500, 0.500]]}

***

15.
{"formula": "PuMgAg", "functional": "PBE", "state": "optimized geometry", "total_energy_ev_per_cell": -66.442, "lattice_angstrom": [[7.106, 0.000, 0.000], [0.000, 7.106, 0.000], [0.000, 0.000, 7.106]], "species": ["Pu", "Pu", "Pu", "Pu", "Mg", "Mg", "Mg", "Mg", "Ag", "Ag", "Ag", "Ag"], "fractional_positions": [[0.000, 0.000, 0.000], [0.000, 0.500, 0.500], [0.500, 0.000, 0.500], [0.500, 0.500, 0.000], [0.250, 0.250, 0.750], [0.250, 0.750, 0.250], [0.750, 0.250, 0.250], [0.750, 0.750, 0.750], [0.250, 0.250, 0.250], [0.250, 0.750, 0.750], [0.750, 0.250, 0.750], [0.750, 0.750, 0.250]]}

***

16.
{"formula": "MgReAg2S6", "functional": "PBE", "state": "optimized geometry", "total_energy_ev_per_cell": -42.496, "lattice_angstrom": [[0.000, 4.745, 4.745], [4.745, 0.000, 4.745], [4.745, 4.745, 0.000]], "species": ["Mg", "Re", "Ag", "Ag", "S", "S", "S", "S", "S", "S"], "fractional_positions": [[0.000, 0.000, 0.000], [0.500, 0.500, 0.500], [0.250, 0.250, 0.250], [0.750, 0.750, 0.750], [0.256, 0.256, 0.744], [0.256, 0.744, 0.256], [0.256, 0.744, 0.744], [0.744, 0.256, 0.256], [0.744, 0.256, 0.744], [0.744, 0.744, 0.256]]}

***

17.
{"formula": "MgScAgS3", "functional": "PBE", "state": "optimized geometry", "total_energy_ev_per_cell": -58.983, "lattice_angstrom": [[1.819, -6.158, 0.000], [1.819, 6.158, 0.000], [0.000, 0.000, 10.393]], "species": ["Mg", "Mg", "Sc", "Sc", "Ag", "Ag", "S", "S", "S", "S", "S", "S"], "fractional_positions": [[0.234, 0.766, 0.750], [0.766, 0.234, 0.250], [0.000, 0.000, 0.000], [0.000, 0.000, 0.500], [0.478, 0.522, 0.250], [0.522, 0.478, 0.750], [0.122, 0.878, 0.250], [0.360, 0.640, 0.061], [0.360, 0.640, 0.439], [0.640, 0.360, 0.561], [0.640, 0.360, 0.939], [0.878, 0.122, 0.750]]}

***

18.
{"formula": "MgScAgSe2S", "functional": "PBE", "state": "optimized geometry", "total_energy_ev_per_cell": -55.557, "lattice_angstrom": [[1.880, -6.394, 0.000], [1.880, 6.394, 0.000], [0.000, 0.000, 10.472]], "species": ["Mg", "Mg", "Sc", "Sc", "Ag", "Ag", "Se", "Se", "Se", "Se", "S", "S"], "fractional_positions": [[0.244, 0.756, 0.750], [0.756, 0.244, 0.250], [0.000, 0.000, 0.000], [0.000, 0.000, 0.500], [0.484, 0.516, 0.250], [0.516, 0.484, 0.750], [0.355, 0.645, 0.061], [0.355, 0.645, 0.439], [0.645, 0.355, 0.561], [0.645, 0.355, 0.939], [0.118, 0.882, 0.250], [0.882, 0.118, 0.750]]}

***

19.
{"formula": "MgScAgTeS2", "functional": "PBE", "state": "optimized geometry", "total_energy_ev_per_cell": -55.314, "lattice_angstrom": [[1.870, -6.705, 0.000], [1.870, 6.705, 0.000], [0.000, 0.000, 10.659]], "species": ["Mg", "Mg", "Sc", "Sc", "Ag", "Ag", "Te", "Te", "S", "S", "S", "S"], "fractional_positions": [[0.190, 0.810, 0.750], [0.810, 0.190, 0.250], [0.000, 0.000, 0.000], [0.000, 0.000, 0.500], [0.488, 0.512, 0.250], [0.512, 0.488, 0.750], [0.138, 0.862, 0.250], [0.862, 0.138, 0.750], [0.374, 0.626, 0.067], [0.374, 0.626, 0.433], [0.626, 0.374, 0.567], [0.626, 0.374, 0.933]]}

***

20.
{"formula": "SmMgAgSeS2", "functional": "PBE", "state": "optimized geometry", "total_energy_ev_per_cell": -55.263, "lattice_angstrom": [[1.926, -6.475, 0.000], [1.926, 6.475, 0.000], [0.000, 0.000, 10.891]], "species": ["Sm", "Sm", "Mg", "Mg", "Ag", "Ag", "Se", "Se", "S", "S", "S", "S"], "fractional_positions": [[0.000, 0.000, 0.000], [0.000, 0.000, 0.500], [0.219, 0.781, 0.750], [0.781, 0.219, 0.250], [0.486, 0.514, 0.250], [0.514, 0.486, 0.750], [0.126, 0.874, 0.250], [0.874, 0.126, 0.750], [0.357, 0.643, 0.079], [0.357, 0.643, 0.421], [0.643, 0.357, 0.579], [0.643, 0.357, 0.921]]}